(1)
Material: TeP2Au
Method: DFT, PBE-GGA
State: relaxed

Lattice parameters (Å, degrees): 4.6954 4.6954 4.6922 70.50 70.50 109.40
With the nearest neighbours (Å) after each atom.
Fractional positions:
Au 0.0000 0.5000 0.5000  4 P 2.71, 2 Te 2.71
P 0.0000 0.0000 0.0000  2 Au 2.71, 2 Te 2.71, 2 P 2.71
P 0.5000 0.5000 0.0000  2 Te 2.71, 2 Au 2.71, 2 P 2.71
Te 0.5000 0.0000 0.5000  4 P 2.71, 2 Au 2.71

Results
Its space-group type is I4/mmm. The calculation puts the density at 8057 kg/m3. The calculation puts the uncorrected formation energy at 0.255 eV per atom. As for the density of states at the Fermi level: 0.79 states/eV per atom.


(2)
Material: Tb2Ga5Cu3
Method: DFT, PBE-GGA
State: relaxed

Lattice parameters (Å, degrees): 4.1296 4.1296 10.4134 90.00 90.00 90.00
With the nearest neighbours (Å) after each atom.
Fractional positions:
Tb 0.5000 0.0000 0.7422  10 Ga 3.17-3.39, 6 Cu 3.26-3.39
Tb 0.0000 0.5000 0.2578  10 Ga 3.17-3.39, 6 Cu 3.26-3.39
Ga 0.0000 0.5000 0.8598  3 Ga 2.46-2.53, 2 Cu 2.53
Ga 0.5000 0.0000 0.3763  4 Cu 2.43, 1 Ga 2.46
Ga 0.5000 0.0000 0.1402  3 Ga 2.46-2.53, 2 Cu 2.53
Ga 0.0000 0.5000 0.6237  4 Cu 2.43, 1 Ga 2.46
Ga 0.5000 0.5000 0.0000  4 Ga 2.53
Cu 0.0000 0.0000 0.5000  4 Ga 2.43
Cu 0.0000 0.0000 0.0000  4 Ga 2.53
Cu 0.5000 0.5000 0.5000  4 Ga 2.43

Results
Its space-group type is P-4m2. The calculation puts the density at 8014 kg/m3. The value obtained for the calculated formation energy is -448 meV/atom. As for the density of states at the Fermi level: 0.42 states/eV per atom.


(3)
Material: AcTa3Pd4Se12
Method: DFT, PBE-GGA
State: relaxed

Lattice parameters (Å, degrees): 8.6165 8.6165 8.6165 106.17 106.17 106.17
With the nearest neighbours (Å) after each atom.
Fractional positions:
Ac 0.0000 0.0000 0.0000  6 Se 3.14
Ta 0.5539 0.4461 0.0000  6 Se 2.49-2.68
Ta 0.4461 0.0000 0.5539  6 Se 2.49-2.68
Ta 0.0000 0.5539 0.4461  6 Se 2.49-2.68
Pd 0.9278 0.0722 0.5000  3 Se 2.43-2.44
Pd 0.0722 0.5000 0.9278  3 Se 2.43-2.44
Pd 0.5000 0.9278 0.0722  3 Se 2.43-2.44
Pd 0.5000 0.5000 0.5000  3 Se 2.41
Se 0.5000 0.3249 0.6751  1 Pd 2.41, 2 Ta 2.55
Se 0.8949 0.5000 0.1051  1 Pd 2.44, 2 Ta 2.68
Se 0.1051 0.8949 0.5000  1 Pd 2.44, 2 Ta 2.68
Se 0.5000 0.1051 0.8949  1 Pd 2.44, 2 Ta 2.68
Se 0.3460 0.0101 0.2577  1 Pd 2.43, 1 Ta 2.49
Se 0.2577 0.3460 0.0101  1 Pd 2.43, 1 Ta 2.49
Se 0.0101 0.2577 0.3460  1 Pd 2.43, 1 Ta 2.49
Se 0.6540 0.7423 0.9899  1 Pd 2.43, 1 Ta 2.49
Se 0.9899 0.6540 0.7423  1 Pd 2.43, 1 Ta 2.49
Se 0.7423 0.9899 0.6540  1 Pd 2.43, 1 Ta 2.49
Se 0.6751 0.5000 0.3249  1 Pd 2.41, 2 Ta 2.55
Se 0.3249 0.6751 0.5000  1 Pd 2.41, 2 Ta 2.55

Results
Its space-group type is R32. The calculation puts the density at 6537 kg/m3. The calculation puts the uncorrected formation energy at -0.436 eV per atom. As for the density of states at the Fermi level: 0.58 states/eV per atom.


Which of these has the lowest density? AcTa3Pd4Se12


What is the density in the second record? 8014 kg/m3